[1]
The following is a DFT calculation (GGA-PBE) of a geometry-optimized Be2SnOs2 structure.

Summary:
Magnetization = 0.0 μB/f.u.
Relative energy among the computed polymorphs = 64 kJ/mol of formula units
Calculated formation energy = 215 meV per atom
DOS at the Fermi energy = 1.19 states/eV per cell

Cell lengths 6.7605, 6.7605, 3.0096 Å; angles 90.00, 90.00, 90.00 degrees
Sites, in units of the cell vectors:
1 Be 0.1380 0.3620 0.0000
2 Be 0.3620 0.8620 0.0000
3 Be 0.6380 0.1380 0.0000
4 Be 0.8620 0.6380 0.0000
5 Sn 0.0000 0.0000 0.5000
6 Sn 0.5000 0.5000 0.5000
7 Os 0.1430 0.6430 0.5000
8 Os 0.3570 0.1430 0.5000
9 Os 0.6430 0.8570 0.5000
10 Os 0.8570 0.3570 0.5000

---

[2]
The following is a DFT calculation (GGA-PBE) of a geometry-optimized Be2SnOs2 structure.

Summary:
Magnetization = 0.0 μB/f.u.
Relative energy among the computed polymorphs = 0 kJ/mol of formula units
Calculated formation energy = 82 meV per atom
DOS at the Fermi energy = 4.43 states/eV per cell

Cell lengths 6.4628, 6.4628, 3.0311 Å; angles 90.00, 90.00, 90.00 degrees
Sites, in units of the cell vectors:
1 Be 0.1193 0.3807 0.0000
2 Be 0.3807 0.8807 0.0000
3 Be 0.6193 0.1193 0.0000
4 Be 0.8807 0.6193 0.0000
5 Sn 0.0000 0.0000 0.0000
6 Sn 0.5000 0.5000 0.0000
7 Os 0.1646 0.6646 0.5000
8 Os 0.3354 0.1646 0.5000
9 Os 0.6646 0.8354 0.5000
10 Os 0.8354 0.3354 0.5000

---

[3]
The following is a DFT calculation (GGA-PBE) of a geometry-optimized SrBeOs2 structure.

Summary:
Magnetization = 0.0 μB/f.u.
Calculated formation energy = 602 meV per atom
DOS at the Fermi energy = 5.20 states/eV per cell

Cell lengths 2.9391, 2.9391, 7.6299 Å; angles 90.00, 90.00, 90.00 degrees
Sites, in units of the cell vectors:
1 Sr 0.0000 0.0000 0.0000
2 Be 0.0000 0.0000 0.5000
3 Os 0.5000 0.5000 0.3357
4 Os 0.5000 0.5000 0.6643

---

[4]
The following is a DFT calculation (GGA-PBE) of a geometry-optimized SrBe4Os structure.

Summary:
Magnetization = 0.0 μB/f.u.
Calculated formation energy = 446 meV per atom
DOS at the Fermi energy = 6.40 states/eV per cell

Cell lengths 4.7793, 4.7793, 4.7793 Å; angles 60.00, 60.00, 60.00 degrees
Sites, in units of the cell vectors:
1 Sr 0.0000 0.0000 0.0000
2 Be 0.1384 0.6205 0.6205
3 Be 0.6205 0.1384 0.6205
4 Be 0.6205 0.6205 0.1384
5 Be 0.6205 0.6205 0.6205
6 Os 0.2500 0.2500 0.2500

---

[5]
The following is a DFT calculation (GGA-PBE) of a geometry-optimized SrBeOs2 structure.

Summary:
Magnetization = 0.0 μB/f.u.
Calculated formation energy = 435 meV per atom
DOS at the Fermi energy = 3.82 states/eV per cell

Cell lengths 2.8440, 3.6898, 6.8776 Å; angles 90.00, 90.00, 90.00 degrees
Sites, in units of the cell vectors:
1 Sr 0.0000 0.0000 0.0000
2 Be 0.5000 0.5000 0.3220
3 Os 0.0000 0.0000 0.4863
4 Os 0.5000 0.5000 0.6510

---

[6]
The following is a DFT calculation (GGA-PBE) of a geometry-optimized SrBeOs2 structure.

Summary:
Magnetization = 0.0 μB/f.u.
Calculated formation energy = 751 meV per atom
DOS at the Fermi energy = 2.15 states/eV per cell

Cell lengths 9.1624, 9.1624, 9.1624 Å; angles 17.78, 17.78, 17.78 degrees
Sites, in units of the cell vectors:
1 Sr 0.0000 0.0000 0.0000
2 Be 0.5000 0.5000 0.5000
3 Os 0.2317 0.2317 0.2317
4 Os 0.7683 0.7683 0.7683

---

[7]
The following is a DFT calculation (GGA-PBE) of a geometry-optimized SrBeOs2 structure.

Summary:
Magnetization = 0.0 μB/f.u.
Calculated formation energy = 970 meV per atom
DOS at the Fermi energy = 2.38 states/eV per cell

Cell lengths 4.5554, 4.5554, 4.5554 Å; angles 119.94, 119.94, 90.10 degrees
Sites, in units of the cell vectors:
1 Sr 0.0000 0.0000 0.0000
2 Be 0.7500 0.2500 0.5000
3 Os 0.2500 0.7500 0.5000
4 Os 0.5000 0.5000 0.0000

---

[8]
The following is a DFT calculation (GGA-PBE) of a geometry-optimized SrBeOs2 structure.

Summary:
Magnetization = 0.0 μB/f.u.
Calculated formation energy = 737 meV per atom
DOS at the Fermi energy = 3.10 states/eV per cell

Cell lengths 2.8070, 2.8070, 8.5994 Å; angles 90.00, 90.00, 112.20 degrees
Sites, in units of the cell vectors:
1 Sr 0.0000 0.0000 0.0000
2 Be 0.0000 0.0000 0.5000
3 Os 0.5000 0.5000 0.3041
4 Os 0.5000 0.5000 0.6959

---

[9]
The following is a DFT calculation (GGA-PBE) of a geometry-optimized Sr2Be2Os structure.

Summary:
Magnetization = 0.0 μB/f.u.
Relative energy among the computed polymorphs = 0 kJ/mol of formula units
Calculated formation energy = 810 meV per atom
DOS at the Fermi energy = 4.67 states/eV per cell

Cell lengths 10.3726, 10.3726, 10.3726 Å; angles 162.15, 162.15, 25.35 degrees
Sites, in units of the cell vectors:
1 Sr 0.1010 0.1010 0.0000
2 Sr 0.8990 0.8990 0.0000
3 Be 0.2500 0.7500 0.5000
4 Be 0.7500 0.2500 0.5000
5 Os 0.5000 0.5000 0.0000

---

[10]
The following is a DFT calculation (GGA-PBE) of a geometry-optimized SrBeOs2 structure.

Summary:
Magnetization = 0.0 μB/f.u.
Calculated formation energy = 32 meV per atom
DOS at the Fermi energy = 2.24 states/eV per cell

Cell lengths 6.0245, 6.0245, 6.0245 Å; angles 41.01, 41.01, 41.01 degrees
Sites, in units of the cell vectors:
1 Sr 0.0000 0.0000 0.0000
2 Be 0.8194 0.8194 0.8194
3 Os 0.1845 0.1845 0.1845
4 Os 0.4999 0.4999 0.4999

---

[11]
The following is a DFT calculation (GGA-PBE) of a geometry-optimized SrBeOs2 structure.

Summary:
Magnetization = 0.0 μB/f.u.
Calculated formation energy = 1022 meV per atom
DOS at the Fermi energy = 4.38 states/eV per cell

Cell lengths 2.9112, 4.7552, 4.8289 Å; angles 90.00, 90.00, 90.00 degrees
Sites, in units of the cell vectors:
1 Sr 0.0000 0.0000 0.0000
2 Be 0.5000 0.5000 0.0000
3 Os 0.0000 0.5000 0.5000
4 Os 0.5000 0.0000 0.5000

---

[12]
The following is a DFT calculation (GGA-PBE) of a geometry-optimized SrBeOs2 structure.

Summary:
Magnetization = 0.0 μB/f.u.
Calculated formation energy = 709 meV per atom
DOS at the Fermi energy = 4.66 states/eV per cell

Cell lengths 2.8400, 4.0648, 6.3866 Å; angles 90.00, 102.06, 90.00 degrees
Sites, in units of the cell vectors:
1 Sr 0.0000 0.0000 0.0000
2 Be 0.5000 0.0000 0.5000
3 Os 0.3197 0.5000 0.6672
4 Os 0.6803 0.5000 0.3328